First-principles (PBE) data for a relaxed Mn2HgAu crystal, as listed in Alexandria.

Unit cell a=3.356 b=3.168 c=7.326 alpha=64.47 beta=90.00 gamma=90.00
Site moments in Bohr magnetons follow the coordinates.
Sites, in units of the cell vectors:
Hg1 0.500 0.750 0.750  -0.06
Mn1 0.000 0.986 0.014  3.89
Mn2 0.000 0.514 0.486  3.89
Au1 0.500 0.250 0.250  0.08

Properties
Crystal system   monoclinic
DOS(E_F)   0.5995 states/eV per atom
Uncorrected energy   -5.3145 eV per atom
Theoretical density   11989 kg/m³